Tm2HgRh after structural relaxation, computed with PBE-GGA.

It has space group R3m (No. 160, hexagonal axes), with a = 3.9476 Å, b = 3.9476 Å, c = 22.4456 Å, α = 90.00°, β = 90.00° and γ = 120.00°. The inequivalent atoms are Tm at (0.0000, 0.0000, 0.0000), Tm at (0.0000, 0.0000, 0.1996), Hg at (0.0000, 0.0000, 0.7659) and Rh at (0.0000, 0.0000, 0.6010).

Its distance to the lowest polymorph of the same formula is 138 meV per atom. Its formation energy is -2.4 eV/f.u.


Tb3Tm3Th2 after structural relaxation, computed with PBE-GGA.

It has space group C2/m (No. 12), with a = 7.1260 Å, b = 14.1851 Å, c = 6.1150 Å, α = 90.00°, β = 125.62° and γ = 90.00°. The inequivalent atoms are Tb at (0.0000, 0.0000, 0.0000), Tb at (0.0000, 0.3717, 0.5000), Tm at (0.0000, 0.1262, 0.5000), Tm at (0.0000, 0.5000, 0.0000) and Th at (0.0000, 0.2514, 0.0000).

Its distance to the lowest polymorph of the same formula is 10 meV per atom. Its formation energy is 0.3 eV/f.u.


PrSeS after structural relaxation, computed with PBE-GGA.

It has space group Pnma (No. 62), with a = 16.9111 Å, b = 4.0958 Å, c = 4.0957 Å, α = 90.00°, β = 90.00° and γ = 90.00°. The inequivalent atoms are Pr at (0.1434, 0.2500, 0.2488), Se at (0.0000, 0.2500, 0.7499) and S at (0.1833, 0.7500, 0.7486).

The calculation puts the formation energy from raw total energies at -1.70 eV/atom. Its distance to the lowest polymorph of the same formula is 0 meV per atom.


Ti2V2Pt after structural relaxation, computed with PBE-GGA.

It has space group P4/mbm (No. 127), with a = 6.5214 Å, b = 6.5214 Å, c = 3.6919 Å, α = 90.00°, β = 90.00° and γ = 90.00°. The inequivalent atoms are Ti at (0.1692, 0.3308, 0.0000), V at (0.1291, 0.6291, 0.5000) and Pt at (0.0000, 0.0000, 0.5000).

Its distance to the lowest polymorph of the same formula is 40 meV per atom. Its formation energy is -0.7 eV/f.u.


CeErFeRu after structural relaxation, computed with PBE-GGA.

It has space group F-43m (No. 216), with a = 6.7905 Å, b = 6.7905 Å, c = 6.7905 Å, α = 90.00°, β = 90.00° and γ = 90.00°. The inequivalent atoms are Ce at (0.0000, 0.0000, 0.0000), Er at (0.0000, 0.0000, 0.5000), Fe at (0.2500, 0.2500, 0.7500) and Ru at (0.2500, 0.2500, 0.2500).

Its formation energy is -0.5 eV/f.u.


Tm2Th9Sc after structural relaxation, computed with PBE-GGA.

It has space group P4/mmm (No. 123), with a = 5.0128 Å, b = 5.0128 Å, c = 15.0259 Å, α = 90.00°, β = 90.00° and γ = 90.00°. The inequivalent atoms are Tm at (0.0000, 0.0000, 0.1682), Th at (0.0000, 0.5000, 0.0000), Th at (0.0000, 0.5000, 0.3361), Th at (0.5000, 0.5000, 0.1680), Th at (0.5000, 0.5000, 0.5000) and Sc at (0.0000, 0.0000, 0.5000).

Its formation energy is 0.7 eV/f.u.


Pm2SmEr9 after structural relaxation, computed with PBE-GGA.

It has space group P6/mmm (No. 191), with a = 11.1927 Å, b = 11.1927 Å, c = 3.4990 Å, α = 90.00°, β = 90.00° and γ = 120.00°. The inequivalent atoms are Pm at (0.3333, 0.6667, 0.0000), Sm at (0.0000, 0.0000, 0.0000), Er at (0.0000, 0.5000, 0.0000) and Er at (0.1757, 0.3515, 0.5000).

Its distance to the lowest polymorph of the same formula is 37 meV per atom. Its formation energy is 0.7 eV/f.u.


LiCoC2 after structural relaxation, computed with PBE-GGA.

It has space group I4_1/amd (No. 141, origin choice 2), with a = 3.7360 Å, b = 3.7360 Å, c = 12.2222 Å, α = 90.00°, β = 90.00° and γ = 90.00°. The inequivalent atoms are Li at (0.0000, 0.2500, 0.3750), Co at (0.0000, 0.2500, 0.8750) and C at (0.0000, 0.0000, 0.0000).

Its distance to the lowest polymorph of the same formula is 0 meV per atom. Its formation energy is 3.3 eV/f.u.


Na2Sn3Pd4 after structural relaxation, computed with PBE-GGA.

It has space group Cmce (No. 64), with a = 6.1428 Å, b = 16.1021 Å, c = 7.5370 Å, α = 90.00°, β = 90.00° and γ = 90.00°. The inequivalent atoms are Na at (0.0000, 0.0924, 0.0941), Sn at (0.0000, 0.0000, 0.5000), Sn at (0.2500, 0.2397, 0.7500), Pd at (0.0000, 0.1700, 0.4816) and Pd at (0.2500, 0.0716, 0.7500).

Its formation energy is -4.0 eV/f.u.


AcPm6Sm4 after structural relaxation, computed with PBE-GGA.

It has space group I-42m (No. 121), with a = 7.9214 Å, b = 7.9214 Å, c = 13.1425 Å, α = 90.00°, β = 90.00° and γ = 90.00°. The inequivalent atoms are Ac at (0.0000, 0.0000, 0.0000), Pm at (0.0000, 0.5000, 0.0000), Pm at (0.2479, 0.2479, 0.6918) and Sm at (0.1660, 0.1660, 0.4249).

Its distance to the lowest polymorph of the same formula is 48 meV per atom. Its formation energy is 4.0 eV/f.u.


NiAg3Os after structural relaxation, computed with PBE-GGA.

It has space group Pm-3m (No. 221), with a = 4.6530 Å, b = 4.6530 Å, c = 4.6530 Å, α = 90.00°, β = 90.00° and γ = 90.00°. The inequivalent atoms are Ni at (0.0000, 0.0000, 0.0000), Ag at (0.0000, 0.0000, 0.5000) and Os at (0.5000, 0.5000, 0.5000).

Its distance to the lowest polymorph of the same formula is 0 meV per atom. Its formation energy is 8.3 eV/f.u.


NaAcHoTl after structural relaxation, computed with PBE-GGA.

It has space group F-43m (No. 216), with a = 8.0003 Å, b = 8.0003 Å, c = 8.0003 Å, α = 90.00°, β = 90.00° and γ = 90.00°. The inequivalent atoms are Na at (0.0000, 0.0000, 0.0000), Ac at (0.2500, 0.2500, 0.7500), Ho at (0.2500, 0.2500, 0.2500) and Tl at (0.0000, 0.0000, 0.5000).

Its formation energy is -0.2 eV/f.u.


Uncorrected energy per entry: -57.01; -83.76; -69.92; -81.47; -115.01; -81.40; -54.56; -96.65; -157.84; -94.99; -17.22; -50.12 eV per cell